The following is a PBE-GGA calculation of crystalline ZrReRu2 at its relaxed geometry, from the Alexandria database.

Values from the calculation:
E above lowest polymorph: 125.3 meV per atom
Crystal system: orthorhombic
Energy: -9.84 eV/atom

a = 5.2665 Å, b = 5.2665 Å, c = 5.2665 Å
α = 145.30°, β = 127.84°, γ = 64.17°
Fractional coordinates of all 4 atoms:
1 Re 0.2500 0.7500 0.5000
2 Ru 0.0200 0.0200 0.0000
3 Ru 0.4800 0.4800 0.0000
4 Zr 0.7500 0.2500 0.5000


The following is a PBE-GGA calculation of crystalline KYZr at its relaxed geometry, from the Alexandria database.

Values from the calculation:
E above lowest polymorph: 248.1 meV per atom
Crystal system: monoclinic
Energy: -4.96 eV/atom

a = 5.5726 Å, b = 3.4959 Å, c = 12.8855 Å
α = 90.00°, β = 88.67°, γ = 90.00°
Fractional coordinates of all 6 atoms:
1 Y 0.6376 0.0000 0.2469
2 Y 0.1286 0.5000 0.2722
3 K 0.6461 0.5000 0.7202
4 K 0.1323 0.0000 0.9898
5 Zr 0.4952 0.5000 0.4505
6 Zr 0.9551 0.0000 0.4659


The following is a PBE-GGA calculation of crystalline Pu3GaIr2 at its relaxed geometry, from the Alexandria database.

Values from the calculation:
Crystal system: orthorhombic
Energy: -11.01 eV/atom

a = 4.7644 Å, b = 7.4681 Å, c = 8.3075 Å
α = 116.71°, β = 106.66°, γ = 90.00°
Last column: magnetic moment on the atom in μB.
Fractional coordinates of all 12 atoms:
1 Pu 0.5000 0.2500 0.0000  4.77
2 Pu 0.5000 0.7500 0.0000  4.77
3 Pu 0.8149 0.0649 0.6299  5.19
4 Pu 0.1851 0.4351 0.3701  5.19
5 Pu 0.1851 0.9351 0.3701  5.19
6 Pu 0.8149 0.5649 0.6299  5.19
7 Ga 0.0000 0.5000 0.0000  -0.01
8 Ga 0.0000 0.0000 0.0000  -0.01
9 Ir 0.3574 0.3575 0.7149  -0.32
10 Ir 0.6425 0.1425 0.2851  -0.32
11 Ir 0.3575 0.8575 0.7149  -0.32
12 Ir 0.6426 0.6425 0.2851  -0.32


DFT formation energy: 0.045 0.413 -0.386 (eV/atom)